Below is a relaxed HoTmAu6 crystal, with properties calculated at the PBE-GGA level.

Cell: 4.4702 5.1105 8.1157 Å, 81.25 74.01 64.07°
Closest atoms and distances in Å follow each position.
Sites, in units of the cell vectors:
Ho: 0.0000 0.5000 0.5000  12 Au 3.00-3.16
Tm: 0.0000 0.0000 0.0000  12 Au 2.99-3.15
Au: 0.2504 0.8727 0.6265  1 Tm 2.99, 8 Au 3.00-3.18, 3 Ho 3.00-3.01
Au: 0.5013 0.2472 0.7503  8 Au 2.98-3.02, 2 Tm 3.15, 2 Ho 3.16
Au: 0.2514 0.3747 0.1225  8 Au 2.98-3.16, 3 Tm 3.00, 1 Ho 3.02
Au: 0.4987 0.7528 0.2497  8 Au 2.98-3.02, 2 Tm 3.15, 2 Ho 3.16
Au: 0.7496 0.1273 0.3735  1 Tm 2.99, 8 Au 3.00-3.18, 3 Ho 3.00-3.01
Au: 0.7486 0.6253 0.8775  8 Au 2.98-3.16, 3 Tm 3.00, 1 Ho 3.02

Computed properties:
Calculated volume (Å³ per atom): 20.02
Electronic total energy (eV/f.u.): -34.16



Below is a relaxed HoTmAu crystal, with properties calculated at the PBE-GGA level.

Cell: 3.7631 4.8732 4.8732 Å, 120.00 90.00 90.00°
Closest atoms and distances in Å follow each position.
Sites, in units of the cell vectors:
Tm: 0.0763 0.0000 0.0000  3 Au 2.96
Au: 0.3225 0.3333 0.6667  3 Tm 2.96, 3 Ho 3.00
Ho: 0.6012 0.6667 0.3333  3 Au 3.00, 3 Tm 3.33

Computed properties:
Calculated volume (Å³ per atom): 25.80
Electronic total energy (eV/f.u.): -13.63